(1)
Density functional theory data (SCAN) for a crystal of CuSbW2 relaxed with PBEsol.

* spin magnetization: 0.000 μB/f.u.
* electronic total energy: -47.28 eV/atom
* density of states at the Fermi level: 0.56 states/eV per atom

Geometry as CIF:
```
data_CuSbW2
_chemical_formula_sum 'Cu1 Sb1 W2'
_cell_length_a 2.848
_cell_length_b 4.429
_cell_length_c 5.197
_cell_angle_alpha 90.00
_cell_angle_beta 98.90
_cell_angle_gamma 90.00
_symmetry_space_group_name_H-M 'P 1'
_symmetry_Int_Tables_number 1
loop_
_symmetry_equiv_pos_as_xyz
'x,y,z'
loop_
_atom_site_label
_atom_site_fract_x
_atom_site_fract_y
_atom_site_fract_z
_atom_site_occupancy
Sb1 0.000 0.500 0.500 1
W1 0.770 0.000 0.767 1
Cu1 0.500 0.500 0.000 1
W2 0.230 0.000 0.233 1
```

---

(2)
Density functional theory data (SCAN) for a crystal of LaReBr2 relaxed with PBEsol.

* spin magnetization: 0.000 μB/f.u.
* E above lowest polymorph: 14.7 kJ/mol of formula units
* density of states at the Fermi level: 0.67 states/eV per atom

Geometry as CIF:
```
data_LaReBr2
_chemical_formula_sum 'La1 Re1 Br2'
_cell_length_a 3.357
_cell_length_b 4.237
_cell_length_c 7.367
_cell_angle_alpha 106.71
_cell_angle_beta 103.17
_cell_angle_gamma 90.00
_symmetry_space_group_name_H-M 'P 1'
_symmetry_Int_Tables_number 1
loop_
_symmetry_equiv_pos_as_xyz
'x,y,z'
loop_
_atom_site_label
_atom_site_fract_x
_atom_site_fract_y
_atom_site_fract_z
_atom_site_occupancy
Br1 0.957 0.957 0.915 1
La1 0.571 0.571 0.142 1
Re1 0.239 0.739 0.479 1
Br2 0.732 0.232 0.465 1
```

---

(3)
Density functional theory data (SCAN) for a crystal of Pr2FeSn4 relaxed with PBEsol.

* spin magnetization: 2.257 μB/f.u.
* density of states at the Fermi level: 0.49 states/eV per atom
* formation enthalpy at 0 K: -582 meV per atom

Geometry as CIF:
```
data_Pr2FeSn4
_chemical_formula_sum 'Pr2 Fe1 Sn4'
_cell_length_a 4.528
_cell_length_b 4.572
_cell_length_c 8.643
_cell_angle_alpha 105.34
_cell_angle_beta 90.00
_cell_angle_gamma 90.00
_symmetry_space_group_name_H-M 'P 1'
_symmetry_Int_Tables_number 1
loop_
_symmetry_equiv_pos_as_xyz
'x,y,z'
loop_
_atom_site_label
_atom_site_fract_x
_atom_site_fract_y
_atom_site_fract_z
_atom_site_occupancy
Fe1 0.500 0.698 0.397 1
Pr1 0.000 0.103 0.207 1
Sn1 0.000 0.432 0.863 1
Sn2 0.000 0.758 0.515 1
Pr2 0.500 0.899 0.797 1
Sn3 0.500 0.550 0.100 1
Sn4 0.500 0.257 0.515 1
```

---

(4)
Density functional theory data (SCAN) for a crystal of AlP2Au relaxed with PBEsol.

* spin magnetization: 0.000 μB/f.u.
* density of states at the Fermi level: 0.24 states/eV per atom
* formation enthalpy at 0 K: -232 meV per atom

Geometry as CIF:
```
data_AlP2Au
_chemical_formula_sum 'Al1 P2 Au1'
_cell_length_a 3.162
_cell_length_b 3.162
_cell_length_c 6.817
_cell_angle_alpha 90.00
_cell_angle_beta 90.00
_cell_angle_gamma 90.00
_symmetry_space_group_name_H-M 'P 1'
_symmetry_Int_Tables_number 1
loop_
_symmetry_equiv_pos_as_xyz
'x,y,z'
loop_
_atom_site_label
_atom_site_fract_x
_atom_site_fract_y
_atom_site_fract_z
_atom_site_occupancy
Au1 0.500 0.500 0.716 1
Al1 0.000 0.000 0.530 1
P1 0.500 0.500 0.076 1
P2 0.000 0.000 0.178 1
```

---

(5)
Density functional theory data (SCAN) for a crystal of TaTiMn2 relaxed with PBEsol.

* spin magnetization: 0.481 μB/f.u.
* density of states at the Fermi level: 0.51 states/eV per atom
* formation enthalpy at 0 K: -314 meV per atom

Geometry as CIF:
```
data_TaTiMn2
_chemical_formula_sum 'Ta1 Ti1 Mn2'
_cell_length_a 4.219
_cell_length_b 4.219
_cell_length_c 4.219
_cell_angle_alpha 60.00
_cell_angle_beta 60.00
_cell_angle_gamma 60.00
_symmetry_space_group_name_H-M 'P 1'
_symmetry_Int_Tables_number 1
loop_
_symmetry_equiv_pos_as_xyz
'x,y,z'
loop_
_atom_site_label
_atom_site_fract_x
_atom_site_fract_y
_atom_site_fract_z
_atom_site_occupancy
Ti1 0.000 0.000 0.000 1
Mn1 0.250 0.250 0.250 1
Ta1 0.500 0.500 0.500 1
Mn2 0.750 0.750 0.750 1
```

---

(6)
Density functional theory data (SCAN) for a crystal of NiHg3Pt relaxed with PBEsol.

* spin magnetization: 0.000 μB/f.u.
* density of states at the Fermi level: 0.57 states/eV per atom
* formation enthalpy at 0 K: 739 meV per atom

Geometry as CIF:
```
data_NiHg3Pt
_chemical_formula_sum 'Ni1 Hg3 Pt1'
_cell_length_a 4.752
_cell_length_b 4.752
_cell_length_c 4.752
_cell_angle_alpha 90.00
_cell_angle_beta 90.00
_cell_angle_gamma 90.00
_symmetry_space_group_name_H-M 'P 1'
_symmetry_Int_Tables_number 1
loop_
_symmetry_equiv_pos_as_xyz
'x,y,z'
loop_
_atom_site_label
_atom_site_fract_x
_atom_site_fract_y
_atom_site_fract_z
_atom_site_occupancy
Ni1 0.000 0.000 0.000 1
Hg1 0.000 0.500 0.000 1
Hg2 0.500 0.000 0.000 1
Pt1 0.500 0.500 0.500 1
Hg3 0.000 0.000 0.500 1
```

---

(7)
Density functional theory data (SCAN) for a crystal of Te3IrRh relaxed with PBEsol.

* spin magnetization: 2.258 μB/f.u.
* electronic total energy: -42.29 eV/atom
* density of states at the Fermi level: 1.25 states/eV per atom

Geometry as CIF:
```
data_Te3IrRh
_chemical_formula_sum 'Te3 Ir1 Rh1'
_cell_length_a 5.105
_cell_length_b 5.105
_cell_length_c 5.105
_cell_angle_alpha 90.00
_cell_angle_beta 90.00
_cell_angle_gamma 90.00
_symmetry_space_group_name_H-M 'P 1'
_symmetry_Int_Tables_number 1
loop_
_symmetry_equiv_pos_as_xyz
'x,y,z'
loop_
_atom_site_label
_atom_site_fract_x
_atom_site_fract_y
_atom_site_fract_z
_atom_site_occupancy
Te1 0.000 0.500 0.000 1
Ir1 0.000 0.000 0.000 1
Te2 0.500 0.000 0.000 1
Rh1 0.500 0.500 0.500 1
Te3 0.000 0.000 0.500 1
```

---

(8)
Density functional theory data (SCAN) for a crystal of TbCo2Ni3 relaxed with PBEsol.

* spin magnetization: 4.481 μB/f.u.
* density of states at the Fermi level: 0.61 states/eV per atom
* formation enthalpy at 0 K: -228 meV per atom

Geometry as CIF:
```
data_TbCo2Ni3
_chemical_formula_sum 'Tb1 Co2 Ni3'
_cell_length_a 3.922
_cell_length_b 4.688
_cell_length_c 4.859
_cell_angle_alpha 61.16
_cell_angle_beta 90.00
_cell_angle_gamma 90.00
_symmetry_space_group_name_H-M 'P 1'
_symmetry_Int_Tables_number 1
loop_
_symmetry_equiv_pos_as_xyz
'x,y,z'
loop_
_atom_site_label
_atom_site_fract_x
_atom_site_fract_y
_atom_site_fract_z
_atom_site_occupancy
Tb1 0.000 0.000 0.000 1
Co1 0.500 0.000 0.500 1
Ni1 0.500 0.500 0.000 1
Ni2 0.000 0.670 0.661 1
Ni3 0.000 0.330 0.339 1
Co2 0.500 0.500 0.500 1
```